This record from Alexandria describes a relaxed structure of CdInMo2. The functional is PBE-GGA.

Properties
uncorrected energy = -5.865 eV per atom
energy above the lowest structure with this stoichiometry = 206 meV per atom
ΔE_f = 44.7 kJ per mole of atoms
magnetic moment = 0.000 μB per formula unit
crystal system = orthorhombic

Unit cell a=2.827 b=2.827 c=9.327 alpha=90.00 beta=90.00 gamma=103.92
Positions (direct):
Mo: 0.000 0.000 0.997
Mo: 0.000 0.000 0.503
Cd: 0.500 0.500 0.250
In: 0.500 0.500 0.750

This record from Alexandria describes a relaxed structure of CdIn2Mo. The functional is PBE-GGA.

Properties
uncorrected energy = -3.648 eV per atom
ΔE_f = 63.5 kJ per mole of atoms
magnetic moment = 3.010 μB per formula unit
crystal system = cubic

Unit cell a=4.989 b=4.989 c=4.989 alpha=60.00 beta=60.00 gamma=60.00
Each line ends with the local moment (μB).
Positions (direct):
Mo: 0.750 0.750 0.750  2.48
In: 0.250 0.250 0.250  0.04
In: 0.000 0.000 0.000  0.00
Cd: 0.500 0.500 0.500  0.00

This record from Alexandria describes a relaxed structure of CdIn2Mo. The functional is PBE-GGA.

Properties
uncorrected energy = -3.630 eV per atom
ΔE_f = 65.2 kJ per mole of atoms
magnetic moment = 0.000 μB per formula unit
crystal system = tetragonal

Unit cell a=7.703 b=7.703 c=6.213 alpha=51.69 beta=51.69 gamma=90.00
Positions (direct):
Cd: 0.750 0.250 0.500
Cd: 0.000 0.000 0.000
Mo: 0.500 0.500 0.000
Mo: 0.250 0.750 0.500
In: 0.620 0.125 0.250
In: 0.875 0.870 0.750
In: 0.375 0.380 0.750
In: 0.130 0.625 0.250

This record from Alexandria describes a relaxed structure of CdIn2Mo. The functional is PBE-GGA.

Properties
uncorrected energy = -3.902 eV per atom
ΔE_f = 38.9 kJ per mole of atoms
magnetic moment = 0.000 μB per formula unit
crystal system = monoclinic

Unit cell a=5.034 b=2.930 c=5.589 alpha=90.09 beta=90.00 gamma=90.00
Positions (direct):
In: 0.000 0.574 0.490
In: 0.000 0.926 0.010
Cd: 0.500 0.750 0.750
Mo: 0.500 0.250 0.250

This record from Alexandria describes a relaxed structure of Cd2InMo. The functional is PBE-GGA.

Properties
uncorrected energy = -3.478 eV per atom
ΔE_f = 35.9 kJ per mole of atoms
magnetic moment = 0.861 μB per formula unit
crystal system = tetragonal

Unit cell a=5.664 b=5.664 c=5.664 alpha=138.14 beta=138.14 gamma=60.68
Each line ends with the local moment (μB).
Positions (direct):
Mo: 0.750 0.250 0.500  0.73
Cd: 0.000 0.000 0.000  0.01
Cd: 0.500 0.500 0.000  0.01
In: 0.250 0.750 0.500  -0.03

This record from Alexandria describes a relaxed structure of CdInMo2. The functional is PBE-GGA.

Properties
uncorrected energy = -5.863 eV per atom
energy above the lowest structure with this stoichiometry = 209 meV per atom
ΔE_f = 44.9 kJ per mole of atoms
magnetic moment = 0.000 μB per formula unit
crystal system = tetragonal

Unit cell a=5.005 b=5.005 c=5.005 alpha=129.93 beta=129.93 gamma=73.52
Positions (direct):
Cd: 0.500 0.500 0.000
Mo: 0.000 0.000 0.000
Mo: 0.250 0.750 0.500
In: 0.750 0.250 0.500

This record from Alexandria describes a relaxed structure of CdInMo2. The functional is PBE-GGA.

Properties
uncorrected energy = -5.962 eV per atom
energy above the lowest structure with this stoichiometry = 110 meV per atom
ΔE_f = 35.4 kJ per mole of atoms
magnetic moment = 0.000 μB per formula unit
crystal system = orthorhombic

Unit cell a=5.493 b=5.493 c=5.493 alpha=144.55 beta=127.81 gamma=64.68
Positions (direct):
Mo: 0.775 0.275 0.500
Mo: 0.975 0.975 0.000
Cd: 0.509 0.509 0.000
In: 0.241 0.741 0.500

This record from Alexandria describes a relaxed structure of Cd2InMo. The functional is PBE-GGA.

Properties
uncorrected energy = -3.303 eV per atom
ΔE_f = 52.7 kJ per mole of atoms
magnetic moment = 2.259 μB per formula unit
crystal system = cubic

Unit cell a=4.869 b=4.869 c=4.869 alpha=60.00 beta=60.00 gamma=60.00
Each line ends with the local moment (μB).
Positions (direct):
Mo: 0.750 0.750 0.750  2.01
Cd: 0.250 0.250 0.250  -0.02
Cd: 0.000 0.000 0.000  -0.01
In: 0.500 0.500 0.500  -0.04

This record from Alexandria describes a relaxed structure of CdInMo3. The functional is PBE-GGA.

Properties
uncorrected energy = -4.966 eV per atom
energy above the lowest structure with this stoichiometry = 0 meV per atom
ΔE_f = 218.4 kJ per mole of atoms
magnetic moment = 0.000 μB per formula unit
crystal system = cubic

Unit cell a=4.913 b=4.913 c=4.913 alpha=90.00 beta=90.00 gamma=90.00
Positions (direct):
Cd: 0.500 0.500 0.500
Mo: 0.500 0.000 0.000
Mo: 0.000 0.500 0.000
Mo: 0.000 0.000 0.500
In: 0.000 0.000 0.000

This record from Alexandria describes a relaxed structure of CdInMo2. The functional is PBE-GGA.

Properties
uncorrected energy = -5.880 eV per atom
energy above the lowest structure with this stoichiometry = 192 meV per atom
ΔE_f = 43.3 kJ per mole of atoms
magnetic moment = 0.000 μB per formula unit
crystal system = monoclinic

Unit cell a=5.470 b=5.470 c=4.486 alpha=66.12 beta=66.12 gamma=36.74
Positions (direct):
Mo: 0.001 0.001 0.982
Mo: 0.499 0.499 0.518
Cd: 0.250 0.250 0.250
In: 0.750 0.750 0.750

This record from Alexandria describes a relaxed structure of CdIn4Mo. The functional is PBE-GGA.

Properties
uncorrected energy = -3.144 eV per atom
ΔE_f = 61.7 kJ per mole of atoms
magnetic moment = 0.001 μB per formula unit
crystal system = cubic

Unit cell a=5.776 b=5.776 c=5.776 alpha=60.00 beta=60.00 gamma=60.00
Positions (direct):
Mo: 0.750 0.750 0.750
Cd: 0.000 0.000 0.000
In: 0.375 0.875 0.375
In: 0.375 0.375 0.375
In: 0.875 0.375 0.375
In: 0.375 0.375 0.875

This record from Alexandria describes a relaxed structure of Cd2InMo. The functional is PBE-GGA.

Properties
uncorrected energy = -3.464 eV per atom
ΔE_f = 37.2 kJ per mole of atoms
magnetic moment = 0.001 μB per formula unit
crystal system = monoclinic

Unit cell a=5.363 b=2.869 c=5.237 alpha=87.79 beta=90.00 gamma=90.00
Positions (direct):
Cd: 0.000 0.482 0.509
Cd: 0.000 0.018 0.991
Mo: 0.500 0.750 0.750
In: 0.500 0.250 0.250

This record from Alexandria describes a relaxed structure of Cd2InMo. The functional is PBE-GGA.

Properties
uncorrected energy = -3.471 eV per atom
ΔE_f = 36.5 kJ per mole of atoms
magnetic moment = 0.000 μB per formula unit
crystal system = monoclinic

Unit cell a=5.289 b=5.289 c=5.413 alpha=78.79 beta=78.79 gamma=32.80
Positions (direct):
Cd: 0.991 0.991 0.992
Cd: 0.747 0.747 0.772
Mo: 0.255 0.255 0.274
In: 0.508 0.508 0.463

This record from Alexandria describes a relaxed structure of CdInMo2. The functional is PBE-GGA.

Properties
uncorrected energy = -5.791 eV per atom
energy above the lowest structure with this stoichiometry = 281 meV per atom
ΔE_f = 51.9 kJ per mole of atoms
magnetic moment = 0.000 μB per formula unit
crystal system = trigonal

Unit cell a=9.812 b=9.812 c=9.812 alpha=17.33 beta=17.33 gamma=17.33
Positions (direct):
Mo: 0.499 0.499 0.499
Mo: 0.001 0.001 0.001
Cd: 0.250 0.250 0.250
In: 0.750 0.750 0.750

This record from Alexandria describes a relaxed structure of CdIn2Mo2. The functional is PBE-GGA.

Properties
uncorrected energy = -5.238 eV per atom
ΔE_f = 35.9 kJ per mole of atoms
magnetic moment = 0.000 μB per formula unit
crystal system = tetragonal

Unit cell a=7.519 b=7.519 c=3.612 alpha=90.00 beta=90.00 gamma=90.00
Positions (direct):
Mo: 0.113 0.387 0.000
Mo: 0.887 0.613 0.000
Mo: 0.387 0.887 0.000
Mo: 0.613 0.113 0.000
In: 0.320 0.180 0.500
In: 0.820 0.320 0.500
In: 0.180 0.680 0.500
In: 0.680 0.820 0.500
Cd: 0.000 0.000 0.000
Cd: 0.500 0.500 0.000

This record from Alexandria describes a relaxed structure of CdInMo2. The functional is PBE-GGA.

Properties
uncorrected energy = -5.322 eV per atom
energy above the lowest structure with this stoichiometry = 750 meV per atom
ΔE_f = 97.2 kJ per mole of atoms
magnetic moment = 0.002 μB per formula unit
crystal system = tetragonal

Unit cell a=7.571 b=7.571 c=6.023 alpha=51.06 beta=51.06 gamma=90.00
Positions (direct):
In: 0.750 0.250 0.500
In: 0.000 0.000 0.000
Mo: 0.628 0.125 0.250
Mo: 0.875 0.878 0.750
Mo: 0.122 0.625 0.250
Mo: 0.375 0.372 0.750
Cd: 0.250 0.750 0.500
Cd: 0.500 0.500 0.000

This record from Alexandria describes a relaxed structure of CdIn2Mo. The functional is PBE-GGA.

Properties
uncorrected energy = -3.931 eV per atom
ΔE_f = 36.1 kJ per mole of atoms
magnetic moment = 0.000 μB per formula unit
crystal system = monoclinic

Unit cell a=5.360 b=5.360 c=5.468 alpha=82.93 beta=82.93 gamma=31.95
Positions (direct):
In: 0.486 0.486 0.514
In: 0.014 0.014 0.986
Mo: 0.750 0.750 0.750
Cd: 0.250 0.250 0.250

This record from Alexandria describes a relaxed structure of Cd2InMo. The functional is PBE-GGA.

Properties
uncorrected energy = -3.439 eV per atom
ΔE_f = 39.7 kJ per mole of atoms
magnetic moment = 0.810 μB per formula unit
crystal system = tetragonal

Unit cell a=5.485 b=5.485 c=5.485 alpha=135.65 beta=135.65 gamma=64.52
Each line ends with the local moment (μB).
Positions (direct):
Cd: 0.000 0.000 0.000  0.01
Cd: 0.250 0.750 0.500  -0.01
Mo: 0.750 0.250 0.500  0.66
In: 0.500 0.500 0.000  0.01

This record from Alexandria describes a relaxed structure of CdIn2Mo. The functional is PBE-GGA.

Properties
uncorrected energy = -3.968 eV per atom
ΔE_f = 32.6 kJ per mole of atoms
magnetic moment = 0.000 μB per formula unit
crystal system = orthorhombic

Unit cell a=5.262 b=2.973 c=5.226 alpha=89.99 beta=90.00 gamma=90.00
Positions (direct):
In: 0.500 0.375 0.236
In: 0.000 0.875 0.025
Mo: 0.000 0.375 0.521
Cd: 0.500 0.875 0.718

This record from Alexandria describes a relaxed structure of CdIn2Mo. The functional is PBE-GGA.

Properties
uncorrected energy = -3.947 eV per atom
ΔE_f = 34.6 kJ per mole of atoms
magnetic moment = 0.000 μB per formula unit
crystal system = orthorhombic

Unit cell a=2.972 b=2.972 c=9.719 alpha=90.00 beta=90.00 gamma=92.34
Positions (direct):
In: 0.000 0.000 0.993
In: 0.500 0.500 0.282
Mo: 0.000 0.000 0.504
Cd: 0.500 0.500 0.722